The following is a DFT calculation (PBE) of a geometry-optimized NiSBr3 structure.

Summary:
energy	-2.25	eV/atom
crystal system	cubic
total magnetic moment	0.213	μB/atom
DOS(E_F)	28.63	states/eV/f.u.
E_form (uncorrected)	0.74	eV per atom
excess energy over the best structure of this formula in the dataset	1.310	eV per formula unit

Structure (CIF):
```
data_NiSBr3
_symmetry_space_group_name_H-M 'P m -3 m'
_symmetry_Int_Tables_number 221
_symmetry_space_group_name_Hall '-P 4 2 3'
_cell_length_a 5.1364
_cell_length_b 5.1364
_cell_length_c 5.1364
_cell_angle_alpha 90.00
_cell_angle_beta 90.00
_cell_angle_gamma 90.00
loop_
_atom_site_label
_atom_site_type_symbol
_atom_site_fract_x
_atom_site_fract_y
_atom_site_fract_z
Ni1 Ni 0.0000 0.0000 0.0000
S1 S 0.5000 0.5000 0.5000
Br1 Br 0.0000 0.5000 0.5000
```